# 1
# TaHIr (GGA-PBE, relaxed)
data_TaHIr
_space_group_name_H-M_alt 'C 1 2/m 1'
_space_group_IT_number 12
_space_group_name_Hall '-C 2y'
_cell_length_a 8.403
_cell_length_b 3.003
_cell_length_c 6.136
_cell_angle_alpha 90.00
_cell_angle_beta 94.60
_cell_angle_gamma 90.00
loop_
_atom_site_label
_atom_site_type_symbol
_atom_site_fract_x
_atom_site_fract_y
_atom_site_fract_z
Ta1 Ta 0.150 0.000 0.313
H1 H 0.140 0.500 0.509
Ir1 Ir 0.134 0.000 0.869
# density	16.10	Mg/m³
# E_tot	-8.100	eV per atom
# calculated volume	12.9	A^3/atom


# 2
# TaHIr2 (GGA-PBE, relaxed)
data_TaHIr2
_space_group_name_H-M_alt 'I -4 2 d'
_space_group_IT_number 122
_space_group_name_Hall 'I -4 2bw'
_cell_length_a 6.324
_cell_length_b 6.324
_cell_length_c 5.122
_cell_angle_alpha 90.00
_cell_angle_beta 90.00
_cell_angle_gamma 90.00
loop_
_atom_site_label
_atom_site_type_symbol
_atom_site_fract_x
_atom_site_fract_y
_atom_site_fract_z
Ta1 Ta 0.000 0.000 0.000
H1 H 0.000 0.000 0.500
Ir1 Ir 0.157 0.250 0.625
# density	18.37	Mg/m³
# E_tot	-8.353	eV per atom
# calculated volume	12.8	A^3/atom


# 3
# TaH2Ir2 (GGA-PBE, relaxed)
data_TaH2Ir2
_space_group_name_H-M_alt 'P 4/m b m'
_space_group_IT_number 127
_space_group_name_Hall '-P 4 2ab'
_cell_length_a 6.244
_cell_length_b 6.244
_cell_length_c 2.861
_cell_angle_alpha 90.00
_cell_angle_beta 90.00
_cell_angle_gamma 90.00
loop_
_atom_site_label
_atom_site_type_symbol
_atom_site_fract_x
_atom_site_fract_y
_atom_site_fract_z
Ta1 Ta 0.000 0.000 0.000
H1 H 0.231 0.269 0.000
Ir1 Ir 0.148 0.648 0.500
# density	16.89	Mg/m³
# E_tot	-7.279	eV per atom
# calculated volume	11.2	A^3/atom


# 4
# TaH2Ir2 (GGA-PBE, relaxed)
data_TaH2Ir2
_space_group_name_H-M_alt 'I 4/m m m'
_space_group_IT_number 139
_space_group_name_Hall '-I 4 2'
_cell_length_a 3.502
_cell_length_b 3.502
_cell_length_c 8.688
_cell_angle_alpha 90.00
_cell_angle_beta 90.00
_cell_angle_gamma 90.00
loop_
_atom_site_label
_atom_site_type_symbol
_atom_site_fract_x
_atom_site_fract_y
_atom_site_fract_z
Ta1 Ta 0.000 0.000 0.000
H1 H 0.000 0.500 0.250
Ir1 Ir 0.000 0.000 0.344
# density	17.68	Mg/m³
# E_tot	-7.283	eV per atom
# calculated volume	10.7	A^3/atom


# 5
# TaTc2HIr (GGA-PBE, relaxed)
data_TaTc2HIr
_space_group_name_H-M_alt 'P 4/m m m'
_space_group_IT_number 123
_space_group_name_Hall '-P 4 2'
_cell_length_a 3.971
_cell_length_b 3.971
_cell_length_c 4.014
_cell_angle_alpha 90.00
_cell_angle_beta 90.00
_cell_angle_gamma 90.00
loop_
_atom_site_label
_atom_site_type_symbol
_atom_site_fract_x
_atom_site_fract_y
_atom_site_fract_z
Ta1 Ta 0.000 0.000 0.000
Tc1 Tc 0.000 0.500 0.500
H1 H 0.500 0.500 0.500
Ir1 Ir 0.500 0.500 0.000
# density	14.96	Mg/m³
# E_tot	-9.169	eV per atom
# calculated volume	12.7	A^3/atom


# 6
# TaTc2HIr (GGA-PBE, relaxed)
data_TaTc2HIr
_space_group_name_H-M_alt 'P 4/m m m'
_space_group_IT_number 123
_space_group_name_Hall '-P 4 2'
_cell_length_a 3.933
_cell_length_b 3.933
_cell_length_c 4.088
_cell_angle_alpha 90.00
_cell_angle_beta 90.00
_cell_angle_gamma 90.00
loop_
_atom_site_label
_atom_site_type_symbol
_atom_site_fract_x
_atom_site_fract_y
_atom_site_fract_z
Ta1 Ta 0.000 0.000 0.000
Tc1 Tc 0.000 0.500 0.500
H1 H 0.000 0.000 0.500
Ir1 Ir 0.500 0.500 0.000
# density	14.97	Mg/m³
# E_tot	-9.182	eV per atom
# calculated volume	12.6	A^3/atom


# 7
# TaTiHIr2 (GGA-PBE, relaxed)
data_TaTiHIr2
_space_group_name_H-M_alt 'P 4/m m m'
_space_group_IT_number 123
_space_group_name_Hall '-P 4 2'
_cell_length_a 4.014
_cell_length_b 4.014
_cell_length_c 3.985
_cell_angle_alpha 90.00
_cell_angle_beta 90.00
_cell_angle_gamma 90.00
loop_
_atom_site_label
_atom_site_type_symbol
_atom_site_fract_x
_atom_site_fract_y
_atom_site_fract_z
Ta1 Ta 0.000 0.000 0.000
Ti1 Ti 0.500 0.500 0.000
H1 H 0.500 0.500 0.500
Ir1 Ir 0.000 0.500 0.500
# density	15.89	Mg/m³
# E_tot	-8.634	eV per atom
# calculated volume	12.8	A^3/atom


# 8
# Ta2TiHIr (GGA-PBE, relaxed)
data_Ta2TiHIr
_space_group_name_H-M_alt 'P 4/m m m'
_space_group_IT_number 123
_space_group_name_Hall '-P 4 2'
_cell_length_a 4.367
_cell_length_b 4.367
_cell_length_c 3.586
_cell_angle_alpha 90.00
_cell_angle_beta 90.00
_cell_angle_gamma 90.00
loop_
_atom_site_label
_atom_site_type_symbol
_atom_site_fract_x
_atom_site_fract_y
_atom_site_fract_z
Ta1 Ta 0.000 0.500 0.000
Ti1 Ti 0.000 0.000 0.500
H1 H 0.000 0.000 0.000
Ir1 Ir 0.500 0.500 0.500
# density	14.64	Mg/m³
# E_tot	-9.049	eV per atom
# calculated volume	13.7	A^3/atom